# 1
Computed, not measured: a relaxed structure of Eu2ErIn at the GGA-PBE level of DFT.

Lattice parameters (Å, degrees): 5.646 5.646 5.646 60.00 60.00 60.00
Each line ends with the local moment (μB).
Positions (direct):
Eu1 0.250 0.250 0.250  6.83
Eu2 0.750 0.750 0.750  6.83
In1 0.500 0.500 0.500  -0.03
Er1 0.000 0.000 0.000  0.15

Output
energy of formation from the pure elements	-108	meV/atom

=====

# 2
Computed, not measured: a relaxed structure of HfBOsI2 at the GGA-PBE level of DFT.

Lattice parameters (Å, degrees): 5.427 4.953 5.427 90.00 90.00 90.00
Positions (direct):
I1 0.000 0.000 0.500
I2 0.500 0.000 0.000
Hf1 0.000 0.500 0.000
B1 0.500 0.500 0.500
Os1 0.000 0.000 0.000

Output
ΔE_f (raw)	1687	meV per atom

=====

# 3
Computed, not measured: a relaxed structure of DyCuTe2 at the GGA-PBE level of DFT.

Lattice parameters (Å, degrees): 4.346 6.902 7.504 89.40 90.00 90.00
Positions (direct):
Dy1 0.000 0.000 0.000
Dy2 0.500 0.000 0.500
Cu1 0.500 0.345 0.162
Cu2 0.500 0.655 0.838
Te1 0.500 0.738 0.175
Te2 0.000 0.735 0.662
Te3 0.000 0.265 0.338
Te4 0.500 0.262 0.825

Output
ΔE_f (raw)	-888	meV per atom

=====

# 4
Computed, not measured: a relaxed structure of Tl2CdGaAu6 at the GGA-PBE level of DFT.

Lattice parameters (Å, degrees): 8.597 5.708 9.242 53.95 46.34 84.30
Positions (direct):
Tl1 0.409 0.834 0.453
Tl2 0.591 0.166 0.547
Cd1 0.000 0.000 0.000
Ga1 0.500 0.500 0.000
Au1 0.096 0.535 0.258
Au2 0.830 0.891 0.838
Au3 0.327 0.386 0.417
Au4 0.904 0.465 0.742
Au5 0.170 0.109 0.162
Au6 0.673 0.614 0.583

Output
energy of formation from the pure elements	-31	meV/atom

=====

# 5
Computed, not measured: a relaxed structure of LiPm2ZrO6 at the GGA-PBE level of DFT.

Lattice parameters (Å, degrees): 5.751 5.751 5.972 61.21 61.21 60.00
Each line ends with the local moment (μB).
Positions (direct):
Li1 0.310 0.310 0.069  0.00
Pm1 0.530 0.530 0.411  0.01
Pm2 0.032 0.032 0.905  -0.01
Zr1 0.811 0.811 0.567  -0.02
O1 0.615 0.175 0.269  0.23
O2 0.175 0.941 0.269  0.23
O3 0.941 0.615 0.269  0.23
O4 0.461 0.693 0.753  0.09
O5 0.693 0.094 0.753  0.09
O6 0.094 0.461 0.753  0.09

Output
ΔE_f (raw)	-2868	meV per atom

=====

# 6
Computed, not measured: a relaxed structure of MgMn2I8 at the GGA-PBE level of DFT.

Lattice parameters (Å, degrees): 7.061 8.470 8.470 87.11 82.83 82.83
Each line ends with the local moment (μB).
Positions (direct):
Mg1 0.000 0.000 0.000  0.01
Mn1 0.339 0.210 0.210  3.84
Mn2 0.661 0.790 0.790  3.84
I1 0.791 0.068 0.725  -0.01
I2 0.209 0.275 0.932  -0.01
I3 0.707 0.214 0.214  -0.01
I4 0.293 0.786 0.786  -0.01
I5 0.791 0.725 0.068  -0.01
I6 0.209 0.932 0.275  -0.01
I7 0.220 0.419 0.419  -0.13
I8 0.780 0.581 0.581  -0.13

Output
ΔE_f (raw)	-453	meV per atom

=====

# 7
Computed, not measured: a relaxed structure of La2FeSb at the GGA-PBE level of DFT.

Lattice parameters (Å, degrees): 5.182 5.182 4.100 90.00 90.00 90.00
Each line ends with the local moment (μB).
Positions (direct):
Fe1 0.000 0.500 0.500  -2.57
La1 0.000 0.000 0.000  0.27
La2 0.500 0.500 0.000  0.27
Sb1 0.500 0.000 0.500  -0.04

Output
ΔE_f (raw)	-312	meV per atom

=====

# 8
Computed, not measured: a relaxed structure of Er2PaH8 at the GGA-PBE level of DFT.

Lattice parameters (Å, degrees): 3.529 5.410 6.267 115.57 106.35 90.00
Each line ends with the local moment (μB).
Positions (direct):
Er1 0.168 0.668 0.336  0.11
Er2 0.832 0.332 0.664  0.11
Pa1 0.500 0.000 0.000  1.03
H1 0.665 0.906 0.330  0.00
H2 0.335 0.575 0.670  0.00
H3 0.150 0.150 0.299  -0.01
H4 0.000 0.276 0.000  0.00
H5 0.850 0.850 0.701  -0.01
H6 0.665 0.425 0.330  0.00
H7 0.335 0.094 0.670  0.00
H8 0.000 0.724 0.000  0.00

=====

# 9
Computed, not measured: a relaxed structure of LiH6N2Cl at the GGA-PBE level of DFT.

Lattice parameters (Å, degrees): 7.093 7.093 5.803 94.25 94.25 114.26
Positions (direct):
Li1 0.402 0.598 0.250
Li2 0.598 0.402 0.750
H1 0.957 0.414 0.222
H2 0.586 0.043 0.278
H3 0.043 0.586 0.778
H4 0.414 0.957 0.722
H5 0.070 0.264 0.139
H6 0.736 0.930 0.361
H7 0.930 0.736 0.861
H8 0.264 0.070 0.639
H9 0.108 0.364 0.413
H10 0.636 0.892 0.087
H11 0.892 0.636 0.587
H12 0.364 0.108 0.913
N1 0.395 0.092 0.745
N2 0.908 0.605 0.755
N3 0.605 0.908 0.255
N4 0.092 0.395 0.245
Cl1 0.602 0.398 0.250
Cl2 0.398 0.602 0.750

=====

# 10
Computed, not measured: a relaxed structure of Sr12Sn4N3 at the GGA-PBE level of DFT.

Lattice parameters (Å, degrees): 5.285 5.285 21.184 90.00 90.00 90.00
Each line ends with the local moment (μB).
Positions (direct):
Sr1 0.500 0.500 0.864  0.02
Sr2 0.500 0.500 0.136  0.02
Sr3 0.500 0.500 0.378  0.00
Sr4 0.500 0.500 0.622  0.00
Sr5 0.500 0.000 0.000  0.06
Sr6 0.500 0.000 0.255  0.00
Sr7 0.500 0.000 0.500  0.00
Sr8 0.500 0.000 0.745  0.00
Sr9 0.000 0.500 0.000  0.06
Sr10 0.000 0.500 0.255  0.00
Sr11 0.000 0.500 0.500  0.00
Sr12 0.000 0.500 0.745  0.00
Sn1 0.000 0.000 0.884  0.02
Sn2 0.000 0.000 0.116  0.02
Sn3 0.000 0.000 0.375  0.01
Sn4 0.000 0.000 0.625  0.01
N1 0.500 0.500 0.249  0.01
N2 0.500 0.500 0.500  0.00
N3 0.500 0.500 0.751  0.01

Output
ΔE_f (raw)	-620	meV per atom

=====

# 11
Computed, not measured: a relaxed structure of AcZn2CdIn at the GGA-PBE level of DFT.

Lattice parameters (Å, degrees): 4.604 4.604 6.548 110.58 110.58 90.00
Positions (direct):
Ac1 0.000 0.000 0.000
Zn1 0.609 0.609 0.219
Zn2 0.391 0.391 0.781
Cd1 0.250 0.750 0.500
In1 0.750 0.250 0.500

Output
energy of formation from the pure elements	-341	meV/atom

=====

# 12
Computed, not measured: a relaxed structure of Sm4Dy3Er3 at the GGA-PBE level of DFT.

Lattice parameters (Å, degrees): 3.772 9.268 9.268 89.94 90.00 90.00
Positions (direct):
Sm1 0.000 0.630 0.370
Sm2 0.000 0.370 0.630
Sm3 0.000 0.870 0.870
Sm4 0.000 0.130 0.130
Dy1 0.000 0.501 0.001
Dy2 0.000 0.999 0.499
Dy3 0.500 0.169 0.831
Er1 0.500 0.831 0.169
Er2 0.500 0.331 0.331
Er3 0.500 0.669 0.669

Output
energy of formation from the pure elements	96	meV/atom

=====

Sequential DFT total energy output: -7.071 -4.506 -4.633 -2.865 -7.839 -3.393 -5.922 -4.643 -4.710 -3.840 -2.403 -4.541 eV/atom